## TlAsRh2 (PBE)

Data for TlAsRh2 after structural relaxation.

## Properties
* VASP energy: -5.414 eV/atom
* magnetization: 0.00 μB per cell
* E_form: 16 meV per atom
* Fermi-level density of states: 2.269 states/eV per cell

Structure (CIF):
```
data_TlAsRh2
_space_group_name_H-M_alt 'P 1'
_space_group_IT_number 1
_cell_length_a 3.072
_cell_length_b 3.072
_cell_length_c 7.836
_cell_angle_alpha 90.00
_cell_angle_beta 90.00
_cell_angle_gamma 90.01
loop_
_space_group_symop_operation_xyz
'x,y,z'
loop_
_atom_site_label
_atom_site_type_symbol
_atom_site_fract_x
_atom_site_fract_y
_atom_site_fract_z
Rh1 Rh 0.500 0.500 0.221
Rh2 Rh 0.000 0.000 0.991
As1 As 0.500 0.500 0.827
Tl1 Tl 0.000 0.000 0.461
```

---

## Zr2Zn2Pd3 (PBE)

Data for Zr2Zn2Pd3 after structural relaxation.

## Properties
* VASP energy: -5.581 eV/atom
* magnetization: 0.00 μB per cell
* E_form: -549 meV per atom
* Fermi-level density of states: 3.616 states/eV per cell

Structure (CIF):
```
data_Zr2Zn2Pd3
_space_group_name_H-M_alt 'P 1'
_space_group_IT_number 1
_cell_length_a 4.303
_cell_length_b 5.019
_cell_length_c 6.458
_cell_angle_alpha 103.10
_cell_angle_beta 90.00
_cell_angle_gamma 115.39
loop_
_space_group_symop_operation_xyz
'x,y,z'
loop_
_atom_site_label
_atom_site_type_symbol
_atom_site_fract_x
_atom_site_fract_y
_atom_site_fract_z
Pd1 Pd 0.319 0.638 0.773
Zn1 Zn 0.888 0.777 0.581
Zn2 Zn 0.112 0.223 0.419
Pd2 Pd 0.000 0.000 0.000
Zr1 Zr 0.628 0.256 0.790
Pd3 Pd 0.681 0.362 0.227
Zr2 Zr 0.372 0.744 0.210
```

---

## PuTiCu2O8 (PBE)

Data for PuTiCu2O8 after structural relaxation.

## Properties
* VASP energy: -7.352 eV/atom
* formation energy from raw total energies: -1.511 eV/atom
* magnetization: 1.83 μB per cell
* Fermi-level density of states: 9.013 states/eV per cell

Structure (CIF):
```
data_PuTiCu2O8
_space_group_name_H-M_alt 'P 1'
_space_group_IT_number 1
_cell_length_a 5.687
_cell_length_b 5.687
_cell_length_c 5.687
_cell_angle_alpha 112.10
_cell_angle_beta 112.10
_cell_angle_gamma 104.33
loop_
_space_group_symop_operation_xyz
'x,y,z'
loop_
_atom_site_label
_atom_site_type_symbol
_atom_site_fract_x
_atom_site_fract_y
_atom_site_fract_z
O1 O 0.353 0.054 0.299
Cu1 Cu 0.500 0.500 0.000
Pu1 Pu 0.250 0.750 0.500
O2 O 0.906 0.712 0.195
Ti1 Ti 0.000 0.000 0.000
O3 O 0.946 0.246 0.299
O4 O 0.946 0.647 0.701
O5 O 0.517 0.712 0.805
O6 O 0.288 0.483 0.195
Cu2 Cu 0.750 0.250 0.500
O7 O 0.288 0.094 0.805
O8 O 0.754 0.054 0.701
```